Density functional theory data (meta-GGA SCAN) for a crystal of LiLa2Cd relaxed with PBEsol.

The structure belongs to space group Amm2 (No. 38); the cell edges are 5.011, 3.396 and 12.847 Å and the angles 90.00°, 90.00° and 90.00°. The distinct sites, in fractional coordinates, are Li at (0.000, 0.000, 0.000), La at (0.000, 0.000, 0.726), La at (0.500, 0.000, 0.391) and Cd at (0.500, 0.000, 0.116).

The density is 6.033 g/cm3. The energy relative to the elements is -167.9 meV per atom. As for the crystal system: orthorhombic.